Entry 1:
A plane-wave DFT calculation with GGA-PBE was carried out for a geometry-optimized Sc2AsP structure.

Formation energy from the elements (meV/atom): -1424
Calculated volume (Å³/cell): 78.70

```
data_Sc2AsP
_symmetry_space_group_name_H-M 'P 4/m m m'
_symmetry_Int_Tables_number 123
_symmetry_space_group_name_Hall '-P 4 2'
_cell_length_a 3.817
_cell_length_b 3.817
_cell_length_c 5.401
_cell_angle_alpha 90.00
_cell_angle_beta 90.00
_cell_angle_gamma 90.00
loop_
_atom_site_label
_atom_site_type_symbol
_atom_site_fract_x
_atom_site_fract_y
_atom_site_fract_z
_atom_site_occupancy
Sc1 Sc 0.000 0.000 0.000 1
Sc2 Sc 0.500 0.500 0.500 1
As1 As 0.000 0.000 0.500 1
P1 P 0.500 0.500 0.000 1
```


Entry 2:
A plane-wave DFT calculation with GGA-PBE was carried out for a geometry-optimized Sc4AsP structure.

Polymorph energy (0 for the lowest one) (meV/atom): 0
Formation energy from the elements (meV/atom): -884
Calculated volume (Å³/cell): 525.56

```
data_Sc4AsP
_symmetry_space_group_name_H-M 'C 1 2/c 1'
_symmetry_Int_Tables_number 15
_symmetry_space_group_name_Hall '-C 2yc'
_cell_length_a 7.805
_cell_length_b 13.166
_cell_length_c 6.284
_cell_angle_alpha 90.00
_cell_angle_beta 125.53
_cell_angle_gamma 90.00
loop_
_atom_site_label
_atom_site_type_symbol
_atom_site_fract_x
_atom_site_fract_y
_atom_site_fract_z
_atom_site_occupancy
Sc1 Sc 0.118 0.212 0.095 1
Sc2 Sc 0.236 0.449 0.257 1
As1 As 0.000 0.383 0.750 1
P1 P 0.000 0.062 0.250 1
```


Entry 3:
A plane-wave DFT calculation with GGA-PBE was carried out for a geometry-optimized Sc2AsP structure.

Formation energy from the elements (meV/atom): -1196
Calculated volume (Å³/cell): 155.10

```
data_Sc2AsP
_symmetry_space_group_name_H-M 'A m m 2'
_symmetry_Int_Tables_number 38
_symmetry_space_group_name_Hall 'A 2 -2'
_cell_length_a 3.944
_cell_length_b 3.653
_cell_length_c 10.764
_cell_angle_alpha 90.00
_cell_angle_beta 90.00
_cell_angle_gamma 90.00
loop_
_atom_site_label
_atom_site_type_symbol
_atom_site_fract_x
_atom_site_fract_y
_atom_site_fract_z
_atom_site_occupancy
Sc1 Sc 0.000 0.000 0.000 1
Sc2 Sc 0.500 0.000 0.258 1
As1 As 0.500 0.000 0.516 1
P1 P 0.000 0.000 0.758 1
```


Entry 4:
A plane-wave DFT calculation with GGA-PBE was carried out for a geometry-optimized Sc2AsP structure.

Formation energy from the elements (meV/atom): -1431
Calculated volume (Å³/cell): 157.30

```
data_Sc2AsP
_symmetry_space_group_name_H-M 'C 1 2/m 1'
_symmetry_Int_Tables_number 12
_symmetry_space_group_name_Hall '-C 2y'
_cell_length_a 6.600
_cell_length_b 3.816
_cell_length_c 6.625
_cell_angle_alpha 90.00
_cell_angle_beta 109.49
_cell_angle_gamma 90.00
loop_
_atom_site_label
_atom_site_type_symbol
_atom_site_fract_x
_atom_site_fract_y
_atom_site_fract_z
_atom_site_occupancy
Sc1 Sc 0.247 0.000 0.241 1
As1 As 0.000 0.000 0.500 1
P1 P 0.000 0.500 0.000 1
```


Entry 5:
A plane-wave DFT calculation with GGA-PBE was carried out for a geometry-optimized Sc2AsP structure.

Formation energy from the elements (meV/atom): -923
Calculated volume (Å³/cell): 145.06

```
data_Sc2AsP
_symmetry_space_group_name_H-M 'I 4/m m m'
_symmetry_Int_Tables_number 139
_symmetry_space_group_name_Hall '-I 4 2'
_cell_length_a 4.951
_cell_length_b 4.951
_cell_length_c 5.919
_cell_angle_alpha 90.00
_cell_angle_beta 90.00
_cell_angle_gamma 90.00
loop_
_atom_site_label
_atom_site_type_symbol
_atom_site_fract_x
_atom_site_fract_y
_atom_site_fract_z
_atom_site_occupancy
Sc1 Sc 0.000 0.500 0.250 1
As1 As 0.000 0.000 0.000 1
P1 P 0.000 0.000 0.500 1
```


Entry 6:
A plane-wave DFT calculation with GGA-PBE was carried out for a geometry-optimized ScAsP4 structure.

Formation energy from the elements (meV/atom): 167
Calculated volume (Å³/cell): 387.65

```
data_ScAsP4
_symmetry_space_group_name_H-M 'F -4 3 m'
_symmetry_Int_Tables_number 216
_symmetry_space_group_name_Hall 'F -4 2 3'
_cell_length_a 7.291
_cell_length_b 7.291
_cell_length_c 7.291
_cell_angle_alpha 90.00
_cell_angle_beta 90.00
_cell_angle_gamma 90.00
loop_
_atom_site_label
_atom_site_type_symbol
_atom_site_fract_x
_atom_site_fract_y
_atom_site_fract_z
_atom_site_occupancy
Sc1 Sc 0.000 0.000 0.000 1
As1 As 0.250 0.250 0.750 1
P1 P 0.120 0.120 0.380 1
```


Entry 7:
A plane-wave DFT calculation with GGA-PBE was carried out for a geometry-optimized Sc2AsP structure.

Formation energy from the elements (meV/atom): -1034
Calculated volume (Å³/cell): 152.31

```
data_Sc2AsP
_symmetry_space_group_name_H-M 'I m m m'
_symmetry_Int_Tables_number 71
_symmetry_space_group_name_Hall '-I 2 2'
_cell_length_a 3.973
_cell_length_b 5.410
_cell_length_c 7.085
_cell_angle_alpha 90.00
_cell_angle_beta 90.00
_cell_angle_gamma 90.00
loop_
_atom_site_label
_atom_site_type_symbol
_atom_site_fract_x
_atom_site_fract_y
_atom_site_fract_z
_atom_site_occupancy
Sc1 Sc 0.000 0.000 0.243 1
As1 As 0.000 0.500 0.000 1
P1 P 0.000 0.500 0.500 1
```


Entry 8:
A plane-wave DFT calculation with GGA-PBE was carried out for a geometry-optimized Sc2AsP structure.

Formation energy from the elements (meV/atom): -918
Calculated volume (Å³/cell): 73.77

```
data_Sc2AsP
_symmetry_space_group_name_H-M 'P 4/m m m'
_symmetry_Int_Tables_number 123
_symmetry_space_group_name_Hall '-P 4 2'
_cell_length_a 3.271
_cell_length_b 3.271
_cell_length_c 6.896
_cell_angle_alpha 90.00
_cell_angle_beta 90.00
_cell_angle_gamma 90.00
loop_
_atom_site_label
_atom_site_type_symbol
_atom_site_fract_x
_atom_site_fract_y
_atom_site_fract_z
_atom_site_occupancy
Sc1 Sc 0.000 0.000 0.230 1
As1 As 0.500 0.500 0.500 1
P1 P 0.500 0.500 0.000 1
```


Entry 9:
A plane-wave DFT calculation with GGA-PBE was carried out for a geometry-optimized ScAs2P structure.

Formation energy from the elements (meV/atom): -319
Calculated volume (Å³/cell): 145.95

```
data_ScAs2P
_symmetry_space_group_name_H-M 'I -4 m 2'
_symmetry_Int_Tables_number 119
_symmetry_space_group_name_Hall 'I -4 -2'
_cell_length_a 3.852
_cell_length_b 3.852
_cell_length_c 9.838
_cell_angle_alpha 90.00
_cell_angle_beta 90.00
_cell_angle_gamma 90.00
loop_
_atom_site_label
_atom_site_type_symbol
_atom_site_fract_x
_atom_site_fract_y
_atom_site_fract_z
_atom_site_occupancy
Sc1 Sc 0.000 0.000 0.000 1
As1 As 0.000 0.000 0.500 1
As2 As 0.000 0.500 0.750 1
P1 P 0.000 0.500 0.250 1
```


Entry 10:
A plane-wave DFT calculation with GGA-PBE was carried out for a geometry-optimized Sc2AsP2 structure.

Polymorph energy (0 for the lowest one) (meV/atom): 138
Formation energy from the elements (meV/atom): -858
Calculated volume (Å³/cell): 187.43

```
data_Sc2AsP2
_symmetry_space_group_name_H-M 'P 4/m b m'
_symmetry_Int_Tables_number 127
_symmetry_space_group_name_Hall '-P 4 2ab'
_cell_length_a 7.149
_cell_length_b 7.149
_cell_length_c 3.667
_cell_angle_alpha 90.00
_cell_angle_beta 90.00
_cell_angle_gamma 90.00
loop_
_atom_site_label
_atom_site_type_symbol
_atom_site_fract_x
_atom_site_fract_y
_atom_site_fract_z
_atom_site_occupancy
Sc1 Sc 0.176 0.324 0.000 1
As1 As 0.000 0.000 0.000 1
P1 P 0.110 0.610 0.500 1
```


Entry 11:
A plane-wave DFT calculation with GGA-PBE was carried out for a geometry-optimized ScAs2P structure.

Formation energy from the elements (meV/atom): -356
Calculated volume (Å³/cell): 142.89

```
data_ScAs2P
_symmetry_space_group_name_H-M 'I m m 2'
_symmetry_Int_Tables_number 44
_symmetry_space_group_name_Hall 'I 2 -2'
_cell_length_a 3.575
_cell_length_b 4.660
_cell_length_c 8.578
_cell_angle_alpha 90.00
_cell_angle_beta 90.00
_cell_angle_gamma 90.00
loop_
_atom_site_label
_atom_site_type_symbol
_atom_site_fract_x
_atom_site_fract_y
_atom_site_fract_z
_atom_site_occupancy
Sc1 Sc 0.000 0.000 0.000 1
As1 As 0.000 0.000 0.490 1
As2 As 0.000 0.500 0.220 1
P1 P 0.000 0.500 0.777 1
```


Entry 12:
A plane-wave DFT calculation with GGA-PBE was carried out for a geometry-optimized Sc4AsP3 structure.

Formation energy from the elements (meV/atom): -1459
Calculated volume (Å³/cell): 307.26

```
data_Sc4AsP3
_symmetry_space_group_name_H-M 'C m m m'
_symmetry_Int_Tables_number 65
_symmetry_space_group_name_Hall '-C 2 2'
_cell_length_a 7.576
_cell_length_b 10.709
_cell_length_c 3.787
_cell_angle_alpha 90.00
_cell_angle_beta 90.00
_cell_angle_gamma 90.00
loop_
_atom_site_label
_atom_site_type_symbol
_atom_site_fract_x
_atom_site_fract_y
_atom_site_fract_z
_atom_site_occupancy
Sc1 Sc 0.000 0.247 0.000 1
Sc2 Sc 0.244 0.000 0.500 1
As1 As 0.000 0.500 0.000 1
P1 P 0.000 0.000 0.000 1
P2 P 0.250 0.250 0.500 1
```